A plane-wave DFT calculation with PBE was carried out for a relaxed structure of Bi4Se5.

Properties
For the total energy, the calculation gives -33.24 eV per cell. Its energy relative to the elements, uncorrected is -32 meV per atom. As for the space group: No. 12.

a = 8.579 Å, b = 8.579 Å, c = 3.848 Å
α = 102.73°, β = 102.73°, γ = 64.00°
Atoms (fractional coordinates):
Bi 0.065 0.652 0.860
Bi 0.348 0.935 0.140
Bi 0.652 0.065 0.860
Bi 0.935 0.348 0.140
Se 0.000 0.000 0.500
Se 0.262 0.262 0.765
Se 0.360 0.640 0.500
Se 0.640 0.360 0.500
Se 0.738 0.738 0.235